# ScNbTlFe

A geometry-optimized ScNbTlFe structure (PBE, the Open Quantum Materials Database).

## Properties
- Final energy: -6.492 eV per atom
- Symmetry: F-43m, No. 216
- V: 69.8 Å³ per cell

Lattice parameters (Å, degrees): 4.6208 4.6208 4.6208 60.00 60.00 60.00
Element x y z (fractional)
Nb 0.5000 0.5000 0.5000
Tl 0.0000 0.0000 0.0000
Fe 0.7500 0.7500 0.7500
Sc 0.2500 0.2500 0.2500